Record 1
A plane-wave DFT calculation with SCAN was carried out for K2YP at its PBEsol-relaxed geometry.

The symmetry is P4/mmm. The density of states at the Fermi level comes out at 0.383 states/eV/atom. The calculation puts the volume at 27.7 A^3/atom. The energy of formation from the pure elements is -158 meV/atom. For the final energy, the calculation gives -55.53 eV/f.u.

a b c (Å): 4.3078 4.3078 5.9669
angles (deg): 90.00 90.00 90.00
Element x y z (fractional)
K1 0.0000 0.5000 0.0000
K2 0.5000 0.0000 0.0000
Y1 0.0000 0.0000 0.5000
P1 0.5000 0.5000 0.5000


Record 2
A plane-wave DFT calculation with SCAN was carried out for K2LaTe at its PBEsol-relaxed geometry.

The symmetry is I4/mmm. The density of states at the Fermi level comes out at 0.737 states/eV/atom. The calculation puts the volume at 37.0 A^3/atom. For the final energy, the calculation gives -98.81 eV/f.u. The raw formation energy is -449.9 meV per atom.

a b c (Å): 7.4468 7.4468 7.4468
angles (deg): 143.11 143.11 53.16
Element x y z (fractional)
K1 0.2500 0.7500 0.5000
K2 0.7500 0.2500 0.5000
La1 0.0000 0.0000 0.0000
Te1 0.5000 0.5000 0.0000


Record 3
A plane-wave DFT calculation with SCAN was carried out for YTaCu2 at its PBEsol-relaxed geometry.

The symmetry is P4/mmm. The density of states at the Fermi level comes out at 0.641 states/eV/atom. The calculation puts the volume at 16.7 A^3/atom. The energy of formation from the pure elements is 132 meV/atom. The distance to the lowest polymorph of the same formula is 7.4 kJ/mol of formula units. For the final energy, the calculation gives -124.30 eV/f.u.

a b c (Å): 4.6057 4.6057 3.1581
angles (deg): 90.00 90.00 90.00
Element x y z (fractional)
Y1 0.0000 0.0000 0.0000
Ta1 0.5000 0.5000 0.0000
Cu1 0.0000 0.5000 0.5000
Cu2 0.5000 0.0000 0.5000